[1]
Below is CsSnHg2Cl8 after structural relaxation, with properties calculated at the GGA-PBE level.

a b c (Å): 6.6894 7.1535 9.5031
angles (deg): 111.10 94.90 100.67
Closest atoms and distances in Å follow each position.
Atoms (fractional coordinates):
Cs: 0.0000 0.0000 0.0000  8 Cl 3.56-3.83
Sn: 0.0000 0.5000 0.5000  6 Cl 2.56-2.72
Hg: 0.4634 0.3031 0.7704  2 Cl 2.40-2.42
Hg: 0.5366 0.6969 0.2296  2 Cl 2.40-2.42
Cl: 0.1296 0.5330 0.2540  1 Sn 2.63, 1 Hg 2.82
Cl: 0.2300 0.8547 0.6644  1 Sn 2.56
Cl: 0.3003 0.3021 0.5331  1 Hg 2.42
Cl: 0.4447 0.7333 0.9922  1 Hg 2.40
Cl: 0.5553 0.2667 0.0078  1 Hg 2.40
Cl: 0.6997 0.6979 0.4669  1 Hg 2.42
Cl: 0.7700 0.1453 0.3356  1 Sn 2.56
Cl: 0.8704 0.4670 0.7460  1 Sn 2.63, 1 Hg 2.82

## Properties
For the spin magnetization, the calculation gives 0.000 μB per atom. As for the crystal system: triclinic. The calculation puts the uncorrected formation energy at -0.906 eV/atom. Its density of states at the Fermi level is 0.320 states/eV per atom.

[2]
Below is CeRe2N7 after structural relaxation, with properties calculated at the GGA-PBE level.

a b c (Å): 5.7607 5.7607 3.8032
angles (deg): 90.00 90.00 111.89
Closest atoms and distances in Å follow each position.
Atoms (fractional coordinates):
Ce: 0.0000 0.0000 0.0000  10 N 2.59-2.62
Re: 0.3018 0.6982 0.5000  7 N 1.89-2.10
Re: 0.6982 0.3018 0.5000  7 N 1.89-2.10
N: 0.0716 0.3251 0.5000  2 Re 2.06-2.10, 1 N 2.29
N: 0.2749 0.7251 0.0000  2 Re 1.92
N: 0.3251 0.0716 0.5000  2 Re 2.06-2.10, 1 N 2.29
N: 0.5000 0.5000 0.5000  2 Re 1.89
N: 0.6749 0.9284 0.5000  2 Re 2.06-2.10, 1 N 2.29
N: 0.7251 0.2749 0.0000  2 Re 1.92
N: 0.9284 0.6749 0.5000  2 Re 2.06-2.10, 1 N 2.29

## Properties
For the spin magnetization, the calculation gives 0.048 μB per atom. As for the crystal system: orthorhombic. The calculation puts the uncorrected formation energy at 0.394 eV/atom. Its density of states at the Fermi level is 0.463 states/eV per atom.

[3]
Below is Tb3Sm3Tm2 after structural relaxation, with properties calculated at the GGA-PBE level.

a b c (Å): 8.6306 8.6306 5.9793
angles (deg): 109.68 109.68 38.59
Closest atoms and distances in Å follow each position.
Atoms (fractional coordinates):
Tb: 0.0000 0.0000 0.0000  2 Tb 3.37, 4 Sm 3.53
Tb: 0.1334 0.1334 0.5791  1 Tb 3.37, 4 Tm 3.43-3.53, 5 Sm 3.51-3.67
Tb: 0.8666 0.8666 0.4209  1 Tb 3.37, 4 Tm 3.43-3.53, 5 Sm 3.51-3.67
Sm: 0.3655 0.3655 0.8058  1 Sm 3.32, 4 Tm 3.41-3.52, 5 Tb 3.53-3.67
Sm: 0.5000 0.5000 0.5000  2 Sm 3.32, 4 Tb 3.51
Sm: 0.6345 0.6345 0.1942  1 Sm 3.32, 4 Tm 3.41-3.52, 5 Tb 3.53-3.67
Tm: 0.2501 0.2501 0.1828  4 Sm 3.41-3.52, 4 Tb 3.43-3.53, 2 Tm 3.59
Tm: 0.7499 0.7499 0.8172  4 Sm 3.41-3.52, 4 Tb 3.43-3.53, 2 Tm 3.59

## Properties
For the spin magnetization, the calculation gives 0.000 μB per atom. The energy relative to the elements comes out at 0.7 eV/f.u. As for the crystal system: monoclinic. Its density of states at the Fermi level is 1.751 states/eV per atom.

[4]
Below is CrMo2Ir after structural relaxation, with properties calculated at the GGA-PBE level.

a b c (Å): 2.6886 3.9011 5.6001
angles (deg): 90.00 90.00 90.00
Closest atoms and distances in Å follow each position.
Atoms (fractional coordinates):
Cr: 0.0000 0.0000 0.0000  4 Ir 2.69, 2 Cr 2.69, 6 Mo 2.70-2.90
Mo: 0.0000 0.0000 0.4816  6 Mo 2.69-2.82, 2 Cr 2.70-2.90, 4 Ir 2.77
Mo: 0.5000 0.5000 0.7532  2 Ir 2.65-2.95, 6 Mo 2.69-2.82, 4 Cr 2.74
Ir: 0.5000 0.5000 0.2268  6 Mo 2.65-2.95, 4 Cr 2.69, 2 Ir 2.69

## Properties
For the spin magnetization, the calculation gives 0.003 μB per atom. The energy relative to the elements comes out at 0.4 eV/f.u. As for the crystal system: orthorhombic. The energy above the most stable polymorph in this dataset comes out at 72 meV per atom. Its density of states at the Fermi level is 1.073 states/eV per atom.

[5]
Below is PbNOF2 after structural relaxation, with properties calculated at the GGA-PBE level.

a b c (Å): 4.4018 4.4018 3.5028
angles (deg): 90.00 90.00 90.00
Closest atoms and distances in Å follow each position.
Atoms (fractional coordinates):
Pb: 0.0000 0.0000 0.0000  8 F 2.81, 4 O 3.11
N: 0.5000 0.5000 0.5000  2 O 1.75
O: 0.5000 0.5000 0.0000  2 N 1.75
F: 0.0000 0.5000 0.5000  2 N 2.20
F: 0.5000 0.0000 0.5000  2 N 2.20

## Properties
For the spin magnetization, the calculation gives 0.000 μB per atom. As for the crystal system: tetragonal. The energy above the most stable polymorph in this dataset comes out at 0 meV per atom. The calculation puts the uncorrected formation energy at -0.096 eV/atom. Its density of states at the Fermi level is 0.408 states/eV per atom.

[6]
Below is Hf2AlSn4 after structural relaxation, with properties calculated at the GGA-PBE level.

a b c (Å): 8.0361 8.0361 8.0361
angles (deg): 141.53 141.53 55.54
Closest atoms and distances in Å follow each position.
Atoms (fractional coordinates):
Hf: 0.1005 0.1005 0.0000  1 Hf 2.86, 5 Sn 2.93-3.01
Hf: 0.8995 0.8995 0.0000  1 Hf 2.86, 5 Sn 2.93-3.01
Al: 0.5000 0.5000 0.0000  6 Sn 2.65-2.75
Sn: 0.0000 0.5000 0.5000  2 Al 2.65
Sn: 0.3069 0.3069 0.0000  1 Al 2.75, 1 Hf 2.93
Sn: 0.5000 0.0000 0.5000  2 Al 2.65
Sn: 0.6931 0.6931 0.0000  1 Al 2.75, 1 Hf 2.93

## Properties
For the spin magnetization, the calculation gives 0.000 μB per atom. The energy relative to the elements comes out at 3.3 eV/f.u. As for the crystal system: tetragonal. Its density of states at the Fermi level is 0.763 states/eV per atom.

[7]
Below is La3ErCl after structural relaxation, with properties calculated at the GGA-PBE level.

a b c (Å): 5.5606 5.5606 5.5606
angles (deg): 90.00 90.00 90.00
Closest atoms and distances in Å follow each position.
Atoms (fractional coordinates):
La: 0.0000 0.0000 0.5000  2 Cl 2.78
La: 0.0000 0.5000 0.0000  2 Cl 2.78
La: 0.5000 0.0000 0.0000  2 Cl 2.78
Er: 0.5000 0.5000 0.5000  12 La 3.93
Cl: 0.0000 0.0000 0.0000  6 La 2.78

## Properties
For the spin magnetization, the calculation gives 0.000 μB per atom. As for the crystal system: cubic. The calculation puts the uncorrected formation energy at -0.533 eV/atom. Its density of states at the Fermi level is 1.235 states/eV per atom.

[8]
Below is CdAuCl2 after structural relaxation, with properties calculated at the GGA-PBE level.

a b c (Å): 5.4208 5.4208 5.4208
angles (deg): 138.29 105.79 88.94
Closest atoms and distances in Å follow each position.
Atoms (fractional coordinates):
Cd: 0.0000 0.0000 0.0000  4 Cl 2.78
Au: 0.5000 0.5000 0.0000  4 Cl 2.68
Cl: 0.2590 0.7590 0.5000  2 Au 2.68, 2 Cd 2.78
Cl: 0.7410 0.2410 0.5000  2 Au 2.68, 2 Cd 2.78

## Properties
For the spin magnetization, the calculation gives 0.000 μB per atom. As for the crystal system: orthorhombic. The energy above the most stable polymorph in this dataset comes out at 269 meV per atom. The calculation puts the uncorrected formation energy at -0.157 eV/atom. Its density of states at the Fermi level is 0.223 states/eV per atom.

[9]
Below is Pu2AsPt after structural relaxation, with properties calculated at the GGA-PBE level.

a b c (Å): 7.3045 7.3045 7.3045
angles (deg): 32.39 32.39 32.39
Closest atoms and distances in Å follow each position.
Atoms (fractional coordinates):
Pu: 0.2486 0.2486 0.2486  3 Pt 2.90, 3 As 2.94
Pu: 0.7514 0.7514 0.7514  3 Pt 2.90, 3 As 2.94
As: 0.0000 0.0000 0.0000  6 Pu 2.94
Pt: 0.5000 0.5000 0.5000  6 Pu 2.90

## Properties
For the spin magnetization, the calculation gives 2.699 μB per atom. The energy relative to the elements comes out at -3.2 eV/f.u. As for the crystal system: trigonal. The energy above the most stable polymorph in this dataset comes out at 19 meV per atom. Its density of states at the Fermi level is 5.028 states/eV per atom.

[10]
Below is NbAl2Co after structural relaxation, with properties calculated at the GGA-PBE level.

a b c (Å): 4.3481 4.3481 4.3481
angles (deg): 60.00 60.00 60.00
Closest atoms and distances in Å follow each position.
Atoms (fractional coordinates):
Nb: 0.0000 0.0000 0.0000  8 Al 2.66
Al: 0.2500 0.2500 0.2500  4 Co 2.66, 4 Nb 2.66
Al: 0.7500 0.7500 0.7500  4 Co 2.66, 4 Nb 2.66
Co: 0.5000 0.5000 0.5000  8 Al 2.66

## Properties
For the spin magnetization, the calculation gives 0.108 μB per atom. The energy relative to the elements comes out at -0.3 eV/f.u. As for the crystal system: cubic. Its density of states at the Fermi level is 3.021 states/eV per atom.

[11]
Below is HgPb6 after structural relaxation, with properties calculated at the GGA-PBE level.

a b c (Å): 8.5367 8.5367 8.5367
angles (deg): 118.18 118.18 118.18
Closest atoms and distances in Å follow each position.
Atoms (fractional coordinates):
Hg: 0.0000 0.0000 0.0000  6 Pb 3.26, 2 Hg 3.48
Pb: 0.0712 0.4932 0.2224  1 Hg 3.26, 9 Pb 3.43-3.63
Pb: 0.2224 0.0712 0.4932  1 Hg 3.26, 9 Pb 3.43-3.63
Pb: 0.4932 0.2224 0.0712  1 Hg 3.26, 9 Pb 3.43-3.63
Pb: 0.5068 0.7776 0.9288  1 Hg 3.26, 9 Pb 3.43-3.63
Pb: 0.7776 0.9288 0.5068  1 Hg 3.26, 9 Pb 3.43-3.63
Pb: 0.9288 0.5068 0.7776  1 Hg 3.26, 9 Pb 3.43-3.63

## Properties
For the spin magnetization, the calculation gives 0.000 μB per atom. The energy relative to the elements comes out at 0.2 eV/f.u. As for the crystal system: trigonal. The energy above the most stable polymorph in this dataset comes out at 0 meV per atom. Its density of states at the Fermi level is 0.516 states/eV per atom.

[12]
Below is La7PrZn4 after structural relaxation, with properties calculated at the GGA-PBE level.

a b c (Å): 7.6232 7.6232 10.7246
angles (deg): 121.58 121.58 44.71
Closest atoms and distances in Å follow each position.
Atoms (fractional coordinates):
La: 0.0000 0.0000 0.0000  2 Pr 2.90, 4 Zn 3.00-3.03
La: 0.2052 0.2052 0.6460  4 Zn 3.06-3.28, 1 La 3.43
La: 0.2960 0.2960 0.1217  1 La 3.20, 4 Zn 3.42-3.51
La: 0.4348 0.4348 0.6161  5 Zn 3.13-3.48, 2 La 3.20-3.43
La: 0.5652 0.5652 0.3839  5 Zn 3.13-3.48, 2 La 3.20-3.43
La: 0.7040 0.7040 0.8783  1 La 3.20, 4 Zn 3.42-3.51
La: 0.7948 0.7948 0.3540  4 Zn 3.06-3.28, 1 La 3.43
Pr: 0.5000 0.5000 0.0000  2 La 2.90
Zn: 0.0471 0.0471 0.7568  1 Zn 2.74, 2 La 3.03-3.06
Zn: 0.1780 0.1780 0.3356  1 Zn 2.74, 1 La 3.00
Zn: 0.8220 0.8220 0.6644  1 Zn 2.74, 1 La 3.00
Zn: 0.9529 0.9529 0.2432  1 Zn 2.74, 2 La 3.03-3.06

## Properties
For the spin magnetization, the calculation gives 0.032 μB per atom. The energy relative to the elements comes out at -0.7 eV/f.u. As for the crystal system: monoclinic. Its density of states at the Fermi level is 1.252 states/eV per atom.

> What is the density of states at the Fermi level in the twelfth record?

1.252 states/eV per atom